1.
# PaNbPd14, optimized geometry, DFT GGA-PBE
data_PaNbPd14
_space_group_name_H-M_alt 'P 4/m m m'
_space_group_IT_number 123
_space_group_name_Hall '-P 4 2'
_cell_length_a 5.736
_cell_length_b 5.736
_cell_length_c 7.826
_cell_angle_alpha 90.00
_cell_angle_beta 90.00
_cell_angle_gamma 90.00
loop_
_atom_site_label
_atom_site_type_symbol
_atom_site_fract_x
_atom_site_fract_y
_atom_site_fract_z
Pa1 Pa 0.000 0.000 0.000
Nb1 Nb 0.500 0.500 0.000
Pd1 Pd 0.000 0.000 0.500
Pd2 Pd 0.000 0.500 0.000
Pd3 Pd 0.000 0.500 0.500
Pd4 Pd 0.253 0.253 0.247
Pd5 Pd 0.500 0.500 0.500
# Size of the total moment ... 0.00 μB per cell
# Energy relative to the elements ... -0.377 eV/atom



2.
# PaNbPd2, optimized geometry, DFT GGA-PBE
data_PaNbPd2
_space_group_name_H-M_alt 'P 4/m m m'
_space_group_IT_number 123
_space_group_name_Hall '-P 4 2'
_cell_length_a 4.197
_cell_length_b 4.197
_cell_length_c 4.219
_cell_angle_alpha 90.00
_cell_angle_beta 90.00
_cell_angle_gamma 90.00
loop_
_atom_site_label
_atom_site_type_symbol
_atom_site_fract_x
_atom_site_fract_y
_atom_site_fract_z
Pa1 Pa 0.000 0.000 0.000
Nb1 Nb 0.500 0.500 0.000
Pd1 Pd 0.000 0.500 0.500
# Polymorph energy (0 for the lowest one) ... 0 meV per atom
# Size of the total moment ... 0.00 μB per cell
# Energy relative to the elements ... -0.371 eV/atom



3.
# PaNbPd, optimized geometry, DFT GGA-PBE
data_PaNbPd
_space_group_name_H-M_alt 'P 3 m 1'
_space_group_IT_number 156
_space_group_name_Hall 'P 3 -2"'
_cell_length_a 4.7198
_cell_length_b 4.7198
_cell_length_c 3.0059
_cell_angle_alpha 90.00
_cell_angle_beta 90.00
_cell_angle_gamma 120.00
loop_
_atom_site_label
_atom_site_type_symbol
_atom_site_fract_x
_atom_site_fract_y
_atom_site_fract_z
Pa1 Pa 0.0000 0.0000 0.0000
Nb1 Nb 0.6667 0.3333 0.2181
Pd1 Pd 0.3333 0.6667 0.6667
# Polymorph energy (0 for the lowest one) ... 204 meV per atom
# Size of the total moment ... 0.00 μB per cell
# Energy relative to the elements ... 0.020 eV/atom



4.
# Pa2NbPd9, optimized geometry, DFT GGA-PBE
data_Pa2NbPd9
_space_group_name_H-M_alt 'P 4/m m m'
_space_group_IT_number 123
_space_group_name_Hall '-P 4 2'
_cell_length_a 4.130
_cell_length_b 4.130
_cell_length_c 12.195
_cell_angle_alpha 90.00
_cell_angle_beta 90.00
_cell_angle_gamma 90.00
loop_
_atom_site_label
_atom_site_type_symbol
_atom_site_fract_x
_atom_site_fract_y
_atom_site_fract_z
Pa1 Pa 0.000 0.000 0.175
Nb1 Nb 0.000 0.000 0.500
Pd1 Pd 0.000 0.500 0.000
Pd2 Pd 0.000 0.500 0.340
Pd3 Pd 0.500 0.500 0.169
Pd4 Pd 0.500 0.500 0.500
# Size of the total moment ... 3.15 μB per cell
# Energy relative to the elements ... -0.533 eV/atom



5.
# PaNbSnPd, optimized geometry, DFT GGA-PBE
data_PaNbSnPd
_space_group_name_H-M_alt 'F -4 3 m'
_space_group_IT_number 216
_space_group_name_Hall 'F -4 2 3'
_cell_length_a 6.894
_cell_length_b 6.894
_cell_length_c 6.894
_cell_angle_alpha 90.00
_cell_angle_beta 90.00
_cell_angle_gamma 90.00
loop_
_atom_site_label
_atom_site_type_symbol
_atom_site_fract_x
_atom_site_fract_y
_atom_site_fract_z
Pa1 Pa 0.000 0.000 0.000
Nb1 Nb 0.250 0.250 0.250
Sn1 Sn 0.000 0.000 0.500
Pd1 Pd 0.250 0.250 0.750
# Size of the total moment ... 0.00 μB per cell
# Energy relative to the elements ... -0.147 eV/atom



6.
# PaNbPt, optimized geometry, DFT GGA-PBE
data_PaNbPt
_space_group_name_H-M_alt 'P -6 m 2'
_space_group_IT_number 187
_space_group_name_Hall 'P -6 2'
_cell_length_a 4.5078
_cell_length_b 4.5078
_cell_length_c 3.7610
_cell_angle_alpha 90.00
_cell_angle_beta 90.00
_cell_angle_gamma 120.00
loop_
_atom_site_label
_atom_site_type_symbol
_atom_site_fract_x
_atom_site_fract_y
_atom_site_fract_z
Pa1 Pa 0.0000 0.0000 0.0000
Nb1 Nb 0.3333 0.6667 0.5000
Pt1 Pt 0.6667 0.3333 0.5000
# Polymorph energy (0 for the lowest one) ... 275 meV per atom
# Size of the total moment ... 0.00 μB per cell
# Energy relative to the elements ... -0.153 eV/atom



7.
# PaNbPt2, optimized geometry, DFT GGA-PBE
data_PaNbPt2
_space_group_name_H-M_alt 'P 4/m m m'
_space_group_IT_number 123
_space_group_name_Hall '-P 4 2'
_cell_length_a 4.195
_cell_length_b 4.195
_cell_length_c 4.228
_cell_angle_alpha 90.00
_cell_angle_beta 90.00
_cell_angle_gamma 90.00
loop_
_atom_site_label
_atom_site_type_symbol
_atom_site_fract_x
_atom_site_fract_y
_atom_site_fract_z
Pa1 Pa 0.000 0.000 0.000
Nb1 Nb 0.500 0.500 0.000
Pt1 Pt 0.000 0.500 0.500
# Polymorph energy (0 for the lowest one) ... 0 meV per atom
# Size of the total moment ... 0.00 μB per cell
# Energy relative to the elements ... -0.694 eV/atom



8.
# PaNbPt, optimized geometry, DFT GGA-PBE
data_PaNbPt
_space_group_name_H-M_alt 'C 1 2/m 1'
_space_group_IT_number 12
_space_group_name_Hall '-C 2y'
_cell_length_a 14.147
_cell_length_b 4.647
_cell_length_c 8.924
_cell_angle_alpha 90.00
_cell_angle_beta 124.97
_cell_angle_gamma 90.00
loop_
_atom_site_label
_atom_site_type_symbol
_atom_site_fract_x
_atom_site_fract_y
_atom_site_fract_z
Pa1 Pa 0.122 0.000 0.013
Pa2 Pa 0.229 0.500 0.588
Nb1 Nb 0.057 0.000 0.414
Nb2 Nb 0.072 0.500 0.703
Pt1 Pt 0.079 0.500 0.198
Pt2 Pt 0.214 0.000 0.797
# Polymorph energy (0 for the lowest one) ... 0 meV per atom
# Size of the total moment ... 0.00 μB per cell
# Energy relative to the elements ... -0.427 eV/atom



9.
# PaNbPt2, optimized geometry, DFT GGA-PBE
data_PaNbPt2
_space_group_name_H-M_alt 'P 4/m m m'
_space_group_IT_number 123
_space_group_name_Hall '-P 4 2'
_cell_length_a 3.305
_cell_length_b 3.305
_cell_length_c 7.028
_cell_angle_alpha 90.00
_cell_angle_beta 90.00
_cell_angle_gamma 90.00
loop_
_atom_site_label
_atom_site_type_symbol
_atom_site_fract_x
_atom_site_fract_y
_atom_site_fract_z
Pa1 Pa 0.000 0.000 0.000
Nb1 Nb 0.000 0.000 0.500
Pt1 Pt 0.500 0.500 0.284
# Polymorph energy (0 for the lowest one) ... 128 meV per atom
# Size of the total moment ... 0.00 μB per cell
# Energy relative to the elements ... -0.565 eV/atom



10.
# PaNbPt2, optimized geometry, DFT GGA-PBE
data_PaNbPt2
_space_group_name_H-M_alt 'R -3 m'
_space_group_IT_number 166
_space_group_name_Hall '-R 3 2"'
_cell_length_a 2.9413
_cell_length_b 2.9413
_cell_length_c 29.5088
_cell_angle_alpha 90.00
_cell_angle_beta 90.00
_cell_angle_gamma 120.00
loop_
_atom_site_label
_atom_site_type_symbol
_atom_site_fract_x
_atom_site_fract_y
_atom_site_fract_z
Pa1 Pa 0.0000 0.0000 0.0000
Nb1 Nb 0.0000 0.0000 0.5000
Pt1 Pt 0.0000 0.0000 0.2443
# Polymorph energy (0 for the lowest one) ... 355 meV per atom
# Size of the total moment ... 0.00 μB per cell
# Energy relative to the elements ... -0.339 eV/atom



11.
# PuPaNbPt, optimized geometry, DFT GGA-PBE
data_PuPaNbPt
_space_group_name_H-M_alt 'F -4 3 m'
_space_group_IT_number 216
_space_group_name_Hall 'F -4 2 3'
_cell_length_a 6.990
_cell_length_b 6.990
_cell_length_c 6.990
_cell_angle_alpha 90.00
_cell_angle_beta 90.00
_cell_angle_gamma 90.00
loop_
_atom_site_label
_atom_site_type_symbol
_atom_site_fract_x
_atom_site_fract_y
_atom_site_fract_z
Pu1 Pu 0.000 0.000 0.000
Pa1 Pa 0.000 0.000 0.500
Nb1 Nb 0.250 0.250 0.250
Pt1 Pt 0.250 0.250 0.750
# Size of the total moment ... 18.89 μB per cell
# Energy relative to the elements ... -0.168 eV/atom



12.
# Pa2NbSi4Pt3, optimized geometry, DFT GGA-PBE
data_Pa2NbSi4Pt3
_space_group_name_H-M_alt 'P -4 m 2'
_space_group_IT_number 115
_space_group_name_Hall 'P -4 -2'
_cell_length_a 4.204
_cell_length_b 4.204
_cell_length_c 10.090
_cell_angle_alpha 90.00
_cell_angle_beta 90.00
_cell_angle_gamma 90.00
loop_
_atom_site_label
_atom_site_type_symbol
_atom_site_fract_x
_atom_site_fract_y
_atom_site_fract_z
Pa1 Pa 0.000 0.500 0.249
Nb1 Nb 0.000 0.000 0.500
Si1 Si 0.000 0.000 0.000
Si2 Si 0.000 0.500 0.646
Si3 Si 0.500 0.500 0.000
Pt1 Pt 0.000 0.500 0.883
Pt2 Pt 0.500 0.500 0.500
# Energy relative to the elements, uncorrected ... -0.838 eV/atom
# Size of the total moment ... 0.00 μB per cell